No. 1
Below is RbCaH6N3 after structural relaxation, with properties calculated at the PBE level.

a = 7.0691 Å, b = 7.0691 Å, c = 6.6286 Å
α = 101.26°, β = 101.26°, γ = 115.78°
Atoms (fractional coordinates):
Rb 0.2125 0.7875 0.7500
Rb 0.7875 0.2125 0.2500
Ca 0.5000 0.5000 0.0000
Ca 0.5000 0.5000 0.5000
H 0.0536 0.3144 0.7040
H 0.1479 0.1714 0.5868
H 0.1714 0.1479 0.0868
H 0.1736 0.5975 0.1926
H 0.3144 0.0536 0.2040
H 0.4025 0.8264 0.3074
H 0.5975 0.1736 0.6926
H 0.6856 0.9464 0.7960
H 0.8264 0.4025 0.8074
H 0.8286 0.8521 0.9132
H 0.8521 0.8286 0.4132
H 0.9464 0.6856 0.2960
N 0.1857 0.3334 0.6499
N 0.3334 0.1857 0.1499
N 0.3417 0.6583 0.2500
N 0.6583 0.3417 0.7500
N 0.6666 0.8143 0.8501
N 0.8143 0.6666 0.3501

Output
* volume: 12.6 A^3/atom
* SG: No. 15
* spin magnetization: 0.000 μB/atom
* final energy: -0.18012 Ha/atom

No. 2
Below is ZnCoIr2 after structural relaxation, with properties calculated at the PBE level.

a = 2.7177 Å, b = 2.7177 Å, c = 25.6072 Å
α = 90.00°, β = 90.00°, γ = 120.00°
Atoms (fractional coordinates):
Zn 0.0000 0.0000 0.0000
Zn 0.3333 0.6667 0.6667
Zn 0.6667 0.3333 0.3333
Co 0.0000 0.0000 0.2533
Co 0.3333 0.6667 0.9199
Co 0.6667 0.3333 0.5866
Ir 0.0000 0.0000 0.5074
Ir 0.0000 0.0000 0.7532
Ir 0.3333 0.6667 0.1741
Ir 0.3333 0.6667 0.4199
Ir 0.6667 0.3333 0.0866
Ir 0.6667 0.3333 0.8408

Output
* volume: 13.6 A^3/atom
* SG: No. 160
* spin magnetization: 0.293 μB/atom
* calculated formation energy: 0.03 eV per atom

No. 3
Below is K2LiSc after structural relaxation, with properties calculated at the PBE level.

a = 7.5168 Å, b = 12.4672 Å, c = 3.4714 Å
α = 90.00°, β = 90.00°, γ = 90.00°
Atoms (fractional coordinates):
K 0.2500 0.2500 0.0000
K 0.2500 0.7500 0.0000
K 0.7500 0.2500 0.0000
K 0.7500 0.7500 0.0000
Li 0.0000 0.0000 0.5000
Li 0.5000 0.5000 0.5000
Sc 0.0000 0.5000 0.5000
Sc 0.5000 0.0000 0.5000

Output
* volume: 40.7 A^3/atom
* SG: No. 65
* spin magnetization: 0.321 μB/atom
* calculated formation energy: 0.55 eV per atom

No. 4
Below is Tb3Al2Ag2 after structural relaxation, with properties calculated at the PBE level.

a = 4.2484 Å, b = 22.0338 Å, c = 3.5030 Å
α = 90.00°, β = 90.00°, γ = 90.00°
Atoms (fractional coordinates):
Tb 0.0000 0.0000 0.0000
Tb 0.0000 0.1593 0.0000
Tb 0.0000 0.8407 0.0000
Tb 0.5000 0.3407 0.0000
Tb 0.5000 0.5000 0.0000
Tb 0.5000 0.6593 0.0000
Al 0.0000 0.2822 0.5000
Al 0.0000 0.7178 0.5000
Al 0.5000 0.2178 0.5000
Al 0.5000 0.7822 0.5000
Ag 0.0000 0.4192 0.5000
Ag 0.0000 0.5808 0.5000
Ag 0.5000 0.0808 0.5000
Ag 0.5000 0.9192 0.5000

Output
* volume: 23.4 A^3/atom
* SG: No. 65
* spin magnetization: 0.000 μB/atom
* calculated formation energy: -0.31 eV per atom

No. 5
Below is Si3MoP after structural relaxation, with properties calculated at the PBE level.

a = 4.4059 Å, b = 4.4059 Å, c = 4.4059 Å
α = 90.00°, β = 90.00°, γ = 90.00°
Atoms (fractional coordinates):
Si 0.0000 0.0000 0.5000
Si 0.0000 0.5000 0.0000
Si 0.5000 0.0000 0.0000
Mo 0.5000 0.5000 0.5000
P 0.0000 0.0000 0.0000

Output
* volume: 17.1 A^3/atom
* distance to the lowest polymorph of the same formula: 236 meV/atom
* SG: No. 221
* spin magnetization: 0.000 μB/atom
* formation energy from raw total energies: 1186 meV/atom

No. 6
Below is HoZn10Ga2 after structural relaxation, with properties calculated at the PBE level.

a = 8.9001 Å, b = 6.8658 Å, c = 6.8012 Å
α = 81.26°, β = 49.68°, γ = 49.05°
Atoms (fractional coordinates):
Ho 0.0000 0.0000 0.0000
Zn 0.0000 0.5000 0.0000
Zn 0.0048 0.3562 0.6438
Zn 0.2869 0.4968 0.5032
Zn 0.3562 0.0048 0.9952
Zn 0.4968 0.2869 0.7131
Zn 0.5000 0.0000 0.5000
Zn 0.5032 0.7131 0.2869
Zn 0.6438 0.9952 0.0048
Zn 0.7131 0.5032 0.4968
Zn 0.9952 0.6438 0.3562
Ga 0.0000 0.0000 0.5000
Ga 0.5000 0.5000 0.0000

Output
* volume: 16.2 A^3/atom
* SG: No. 69
* spin magnetization: 0.000 μB/atom
* calculated formation energy: -0.12 eV per atom

No. 7
Below is LaBeAs2Br after structural relaxation, with properties calculated at the PBE level.

a = 4.5113 Å, b = 4.5113 Å, c = 5.3951 Å
α = 90.00°, β = 90.00°, γ = 90.00°
Atoms (fractional coordinates):
La 0.0000 0.0000 0.0000
Be 0.5000 0.5000 0.5000
As 0.0000 0.5000 0.5000
As 0.5000 0.0000 0.5000
Br 0.5000 0.5000 0.0000

Output
* volume: 22.0 A^3/atom
* distance to the lowest polymorph of the same formula: 0 meV/atom
* SG: No. 123
* spin magnetization: 0.000 μB/atom
* formation energy from raw total energies: -562 meV/atom

No. 8
Below is OsBrO3 after structural relaxation, with properties calculated at the PBE level.

a = 3.8932 Å, b = 3.8932 Å, c = 3.8932 Å
α = 90.00°, β = 90.00°, γ = 90.00°
Atoms (fractional coordinates):
Os 0.0000 0.0000 0.0000
Br 0.5000 0.5000 0.5000
O 0.0000 0.0000 0.5000
O 0.0000 0.5000 0.0000
O 0.5000 0.0000 0.0000

Output
* volume: 11.8 A^3/atom
* SG: No. 221
* spin magnetization: 0.000 μB/atom
* formation energy from raw total energies: -204 meV/atom

No. 9
Below is CdTc5 after structural relaxation, with properties calculated at the PBE level.

a = 5.0672 Å, b = 5.0672 Å, c = 4.5678 Å
α = 90.00°, β = 90.00°, γ = 120.00°
Atoms (fractional coordinates):
Cd 0.0000 0.0000 0.0000
Tc 0.0000 0.5000 0.5000
Tc 0.3333 0.6667 0.0000
Tc 0.5000 0.0000 0.5000
Tc 0.5000 0.5000 0.5000
Tc 0.6667 0.3333 0.0000

Output
* volume: 16.9 A^3/atom
* distance to the lowest polymorph of the same formula: 318 meV/atom
* SG: No. 191
* spin magnetization: 0.000 μB/atom
* calculated formation energy: 0.51 eV per atom

No. 10
Below is Sm5Ga5Ir2 after structural relaxation, with properties calculated at the PBE level.

a = 7.9143 Å, b = 7.9143 Å, c = 10.8877 Å
α = 128.34°, β = 128.34°, γ = 32.52°
Atoms (fractional coordinates):
Sm 0.0000 0.0000 0.0000
Sm 0.1171 0.1171 0.4230
Sm 0.1991 0.1991 0.8322
Sm 0.8009 0.8009 0.1678
Sm 0.8829 0.8829 0.5770
Ga 0.2588 0.2588 0.3122
Ga 0.4473 0.4473 0.1673
Ga 0.5000 0.5000 0.5000
Ga 0.5527 0.5527 0.8327
Ga 0.7412 0.7412 0.6878
Ir 0.3455 0.3455 0.7382
Ir 0.6545 0.6545 0.2618

Output
* volume: 23.3 A^3/atom
* SG: No. 12
* spin magnetization: 0.000 μB/atom
* calculated formation energy: -0.65 eV per atom

No. 11
Below is TaReTc2 after structural relaxation, with properties calculated at the PBE level.

a = 3.1289 Å, b = 4.4217 Å, c = 4.4994 Å
α = 90.00°, β = 90.00°, γ = 90.00°
Atoms (fractional coordinates):
Ta 0.0000 0.0000 0.0000
Re 0.5000 0.0000 0.5000
Tc 0.0000 0.5000 0.5000
Tc 0.5000 0.5000 0.0000

Output
* volume: 15.6 A^3/atom
* distance to the lowest polymorph of the same formula: 21 meV/atom
* SG: No. 47
* spin magnetization: 0.000 μB/atom
* calculated formation energy: -0.06 eV per atom

No. 12
Below is TmIn2Pb after structural relaxation, with properties calculated at the PBE level.

a = 4.8991 Å, b = 4.8991 Å, c = 17.5504 Å
α = 90.00°, β = 90.00°, γ = 120.00°
Atoms (fractional coordinates):
Tm 0.0000 0.0000 0.0000
Tm 0.3333 0.6667 0.6667
Tm 0.6667 0.3333 0.3333
In 0.0000 0.0000 0.4151
In 0.0000 0.0000 0.6038
In 0.3333 0.6667 0.0818
In 0.3333 0.6667 0.2705
In 0.6667 0.3333 0.7485
In 0.6667 0.3333 0.9372
Pb 0.0000 0.0000 0.1858
Pb 0.3333 0.6667 0.8524
Pb 0.6667 0.3333 0.5191

Output
* volume: 30.4 A^3/atom
* SG: No. 160
* spin magnetization: 0.000 μB/atom
* calculated formation energy: -0.02 eV per atom